[1]
The following is a DFT calculation (PBE) of a relaxed HoTmNi2B2P2 crystal.

a b c (Å): 3.853 3.853 7.837
angles (deg): 90.00 90.00 90.00
Space group P4mm (No. 99)
Symmetry-distinct sites (fractional):
Ho 0.000 0.000 0.000
Tm 0.500 0.500 0.414
Ni 0.000 0.500 0.707
B 0.000 0.000 0.612
B 0.500 0.500 0.806
P 0.000 0.000 0.363
P 0.500 0.500 0.055



[2]
The following is a DFT calculation (PBE) of a relaxed TaAl2Tc crystal.

a b c (Å): 6.263 6.263 6.263
angles (deg): 90.00 90.00 90.00
Space group F-43m (No. 216)
Symmetry-distinct sites (fractional):
Ta 0.000 0.000 0.000
Al 0.000 0.000 0.500
Al 0.250 0.250 0.750
Tc 0.250 0.250 0.250



[3]
The following is a DFT calculation (PBE) of a relaxed HoPaNO crystal.

Calculated values
distance to the lowest polymorph of the same formula	0.0	meV/atom

a b c (Å): 3.929 6.995 5.110
angles (deg): 90.00 90.00 90.00
Space group Pmc2_1 (No. 26)
Symmetry-distinct sites (fractional):
Ho 0.000 0.165 0.000
Pa 0.500 0.345 0.499
N 0.000 0.159 0.498
O 0.500 0.310 0.999



[4]
The following is a DFT calculation (PBE) of a relaxed LaZrPt2 crystal.

Calculated values
energy of formation from the pure elements	-1.013	eV per atom

a b c (Å): 4.495 3.615 10.795
angles (deg): 90.00 90.00 90.00
Space group Amm2 (No. 38)
Symmetry-distinct sites (fractional):
La 0.000 0.000 0.000
Zr 0.500 0.000 0.278
Pt 0.000 0.000 0.735
Pt 0.500 0.000 0.551



| no. | final energy (Ry/atom) |
| --- | --- |
| 1 | -0.4621 |
| 2 | -0.5702 |
| 3 | -0.6161 |
| 4 | -0.5445 |